Record 1
Mn2CrNi | PBE-GGA | relaxed

Results
energy of formation from the pure elements	0.066	eV per atom
D(E_F)	3.80	states/eV/f.u.
energy	-33.48	eV/cell
SG	No. 25
volume	45.1	Å³/cell

Cell: 2.5164 3.5360 5.0631 Å, 90.00 90.00 90.00°
Sites, in units of the cell vectors:
Mn 0.0000 0.0000 0.0069
Mn 0.5000 0.5000 0.2428
Cr 0.5000 0.5000 0.7493
Ni 0.0000 0.0000 0.5010

***

Record 2
LiHoEr4S8 | PBE-GGA | relaxed

Results
D(E_F)	0.00	states/eV/f.u.
energy	-85.42	eV/cell
SG	No. 160
volume	354.7	Å³/cell

Cell: 7.9408 7.9408 7.9505 Å, 60.04 60.04 60.00°
Sites, in units of the cell vectors:
Er 0.6251 0.6251 0.1246
Er 0.4859 0.0047 0.5047
Er 0.0047 0.0047 0.5047
Er 0.0047 0.4859 0.5047
S 0.2433 0.2433 0.2700
S 0.2440 0.2440 0.7425
S 0.7578 0.2249 0.2595
S 0.2249 0.7578 0.2595
S 0.7695 0.2440 0.7425
S 0.7578 0.7578 0.2595
S 0.7585 0.7585 0.7244
S 0.2440 0.7695 0.7425
Ho 0.0047 0.0047 0.9860
Li 0.3750 0.3750 0.8751

***

Record 3
TiReB2 | PBE-GGA | relaxed

Results
energy of formation from the pure elements	-0.711	eV per atom
D(E_F)	2.04	states/eV/f.u.
energy	-36.54	eV/cell
excess energy over the best structure of this formula in the dataset	0.000	eV/f.u.
SG	No. 38
volume	40.3	Å³/cell

Cell: 3.1520 3.0573 4.4702 Å, 90.00 110.56 90.00°
Sites, in units of the cell vectors:
Re 0.4361 0.5000 0.4091
Ti 0.7269 0.0000 0.9935
B 0.0251 0.0000 0.5877
B 0.1429 0.5000 0.8276

***

Record 4
Li2PtW | PBE-GGA | relaxed

Results
energy of formation from the pure elements	-0.041	eV per atom
D(E_F)	1.75	states/eV/f.u.
energy	-22.98	eV/cell
excess energy over the best structure of this formula in the dataset	0.038	eV/f.u.
SG	No. 6
volume	60.7	Å³/cell

Cell: 4.3773 2.6877 5.1707 Å, 86.06 90.00 90.00°
Sites, in units of the cell vectors:
Pt 0.0000 0.3642 0.5397
W 0.5000 0.8341 0.6901
Li 0.0000 0.9356 0.0620
Li 0.5000 0.3661 0.2082

***

Record 5
B5C3 | PBE-GGA | relaxed

Results
energy of formation from the pure elements	0.398	eV per atom
D(E_F)	1.10	states/eV/f.u.
energy	-57.88	eV/cell
excess energy over the best structure of this formula in the dataset	1.024	eV/f.u.
SG	No. 25
volume	55.1	Å³/cell

Cell: 2.5620 2.3692 9.0782 Å, 90.00 90.00 90.00°
Sites, in units of the cell vectors:
B 0.5000 0.5000 0.7416
B 0.5000 0.0000 0.8947
B 0.5000 0.0000 0.3718
B 0.5000 0.5000 0.2201
B 0.0000 0.0000 0.5149
C 0.0000 0.5000 0.1060
C 0.0000 0.0000 0.0119
C 0.0000 0.5000 0.6390

***

Record 6
Sc2Zn2Pt3 | PBE-GGA | relaxed

Results
energy of formation from the pure elements	-0.922	eV per atom
D(E_F)	3.04	states/eV/f.u.
energy	-39.79	eV/cell
SG	No. 2
volume	120.1	Å³/cell

Cell: 4.5705 4.6566 7.5633 Å, 90.01 115.67 120.38°
Sites, in units of the cell vectors:
Zn 0.6074 0.8032 0.6034
Zn 0.3926 0.1968 0.3966
Pt 0.6041 0.8023 0.2607
Pt 0.0000 0.0000 0.0000
Pt 0.3959 0.1977 0.7393
Sc 0.8346 0.4170 0.1645
Sc 0.1654 0.5830 0.8355

***

Record 7
Ta2ZnBi | PBE-GGA | relaxed

Results
energy of formation from the pure elements	0.628	eV per atom
D(E_F)	6.39	states/eV/f.u.
energy	-26.35	eV/cell
excess energy over the best structure of this formula in the dataset	0.000	eV/f.u.
SG	No. 225
volume	76.5	Å³/cell

Cell: 4.7648 4.7648 4.7648 Å, 60.00 60.00 60.00°
Sites, in units of the cell vectors:
Ta 0.7500 0.7500 0.7500
Ta 0.2500 0.2500 0.2500
Bi 0.5000 0.5000 0.5000
Zn 0.0000 0.0000 0.0000

***

Record 8
SrCeRh4 | PBE-GGA | relaxed

Results
energy of formation from the pure elements	-0.494	eV per atom
D(E_F)	5.77	states/eV/f.u.
energy	-39.98	eV/cell
SG	No. 216
volume	112.0	Å³/cell

Cell: 5.4102 5.4102 5.4102 Å, 60.00 60.00 60.00°
Sites, in units of the cell vectors:
Rh 0.6251 0.6251 0.6251
Rh 0.6251 0.6251 0.1247
Rh 0.1247 0.6251 0.6251
Rh 0.6251 0.1247 0.6251
Sr 0.2500 0.2500 0.2500
Ce 0.0000 0.0000 0.0000

***

Record 9
RbTeAu | PBE-GGA | relaxed

Results
D(E_F)	0.00	states/eV/f.u.
energy	-37.78	eV/cell
SG	No. 74
volume	496.9	Å³/cell

Cell: 8.0412 10.7883 5.7285 Å, 90.00 90.00 90.00°
Sites, in units of the cell vectors:
Au 0.7500 0.2500 0.2500
Au 0.2500 0.7500 0.7500
Au 0.7500 0.7500 0.7500
Au 0.2500 0.2500 0.2500
Te 0.5000 0.2500 0.9579
Te 0.0000 0.2500 0.5421
Te 0.0000 0.7500 0.4579
Te 0.5000 0.7500 0.0421
Rb 0.5000 0.0000 0.5000
Rb 0.5000 0.5000 0.5000
Rb 0.0000 0.0000 0.0000
Rb 0.0000 0.5000 0.0000

***

Record 10
TlCu2ICl2 | PBE-GGA | relaxed

Results
D(E_F)	0.00	states/eV/f.u.
energy	-38.07	eV/cell
SG	No. 11
volume	325.0	Å³/cell

Cell: 5.3140 7.5481 8.6570 Å, 110.59 90.00 90.00°
Sites, in units of the cell vectors:
I 0.7500 0.7846 0.0685
I 0.2500 0.2154 0.9315
Cl 0.2500 0.1127 0.3846
Cl 0.7500 0.8873 0.6154
Cl 0.2500 0.6130 0.7152
Cl 0.7500 0.3870 0.2848
Cu 0.9990 0.8909 0.8463
Cu 0.5010 0.8909 0.8463
Cu 0.0010 0.1091 0.1537
Cu 0.4990 0.1091 0.1537
Tl 0.7500 0.3211 0.6208
Tl 0.2500 0.6789 0.3792

***

Record 11
CdHg2Pb | PBE-GGA | relaxed

Results
energy of formation from the pure elements	0.064	eV per atom
D(E_F)	1.79	states/eV/f.u.
energy	-9.94	eV/cell
SG	No. 122
volume	225.0	Å³/cell

Cell: 4.5449 4.5449 11.3568 Å, 78.46 78.46 90.00°
Sites, in units of the cell vectors:
Cd 0.5000 0.5000 0.0000
Cd 0.2500 0.7500 0.5000
Pb 0.0000 0.0000 0.0000
Pb 0.7500 0.2500 0.5000
Hg 0.3750 0.3893 0.7500
Hg 0.6107 0.1250 0.2500
Hg 0.1393 0.6250 0.2500
Hg 0.8750 0.8607 0.7500

***

Record 12
Er6TlGe2Te3 | PBE-GGA | relaxed

Results
D(E_F)	5.04	states/eV/f.u.
energy	-60.44	eV/cell
SG	No. 12
volume	332.4	Å³/cell

Cell: 4.2083 8.6983 9.6138 Å, 104.15 102.64 90.00°
Sites, in units of the cell vectors:
Er 0.6681 0.1073 0.3362
Er 0.3251 0.4354 0.6503
Er 0.6749 0.5646 0.3497
Er 0.9908 0.7451 0.9815
Er 0.0092 0.2549 0.0185
Er 0.3319 0.8927 0.6638
Te 0.5000 0.5000 0.0000
Te 0.8355 0.1689 0.6709
Te 0.1645 0.8311 0.3291
Tl 0.5000 0.0000 0.0000
Ge 0.1671 0.3337 0.3342
Ge 0.8329 0.6663 0.6658